1.
Here is a PBEsol-optimized structure of CaNi5 from Alexandria. Energies are from meta-GGA SCAN.

The structure in CIF format:
```
data_CaNi5
_symmetry_space_group_name_H-M 'P 1'
_symmetry_Int_Tables_number 1
_symmetry_space_group_name_Hall 'P 1'
_cell_length_a 4.841
_cell_length_b 4.841
_cell_length_c 3.871
_cell_angle_alpha 90.00
_cell_angle_beta 90.00
_cell_angle_gamma 120.00
loop_
_atom_site_label
_atom_site_fract_x
_atom_site_fract_y
_atom_site_fract_z
_atom_site_occupancy
Ca1 0.000 0.000 0.000 1
Ni1 0.000 0.500 0.500 1
Ni2 0.333 0.667 0.000 1
Ni3 0.500 0.000 0.500 1
Ni4 0.500 0.500 0.500 1
Ni5 0.667 0.333 0.000 1
```

Values from the calculation:
Symmetry: P6/mmm
DFT formation energy, eV/atom: -0.079

***

2.
Here is a PBEsol-optimized structure of CaNi from Alexandria. Energies are from meta-GGA SCAN.

The structure in CIF format:
```
data_CaNi
_symmetry_space_group_name_H-M 'P 1'
_symmetry_Int_Tables_number 1
_symmetry_space_group_name_Hall 'P 1'
_cell_length_a 7.540
_cell_length_b 7.540
_cell_length_c 7.540
_cell_angle_alpha 30.07
_cell_angle_beta 30.07
_cell_angle_gamma 30.07
loop_
_atom_site_label
_atom_site_fract_x
_atom_site_fract_y
_atom_site_fract_z
_atom_site_occupancy
Ca1 0.086 0.086 0.086 1
Ca2 0.914 0.914 0.914 1
Ni1 0.333 0.333 0.333 1
Ni2 0.667 0.667 0.667 1
```

Values from the calculation:
Symmetry: R-3m
DFT formation energy, eV/atom: -0.127

***

3.
Here is a PBEsol-optimized structure of CaNi2 from Alexandria. Energies are from meta-GGA SCAN.

The structure in CIF format:
```
data_CaNi2
_symmetry_space_group_name_H-M 'P 1'
_symmetry_Int_Tables_number 1
_symmetry_space_group_name_Hall 'P 1'
_cell_length_a 5.293
_cell_length_b 5.293
_cell_length_c 5.293
_cell_angle_alpha 145.15
_cell_angle_beta 145.15
_cell_angle_gamma 50.12
loop_
_atom_site_label
_atom_site_fract_x
_atom_site_fract_y
_atom_site_fract_z
_atom_site_occupancy
Ca1 0.000 0.000 0.000 1
Ni1 0.286 0.286 0.000 1
Ni2 0.714 0.714 0.000 1
```

Values from the calculation:
Symmetry: I4/mmm
DFT formation energy, eV/atom: 0.174

***

4.
Here is a PBEsol-optimized structure of CaNi from Alexandria. Energies are from meta-GGA SCAN.

The structure in CIF format:
```
data_CaNi
_symmetry_space_group_name_H-M 'P 1'
_symmetry_Int_Tables_number 1
_symmetry_space_group_name_Hall 'P 1'
_cell_length_a 3.740
_cell_length_b 3.740
_cell_length_c 7.993
_cell_angle_alpha 90.00
_cell_angle_beta 90.00
_cell_angle_gamma 120.00
loop_
_atom_site_label
_atom_site_fract_x
_atom_site_fract_y
_atom_site_fract_z
_atom_site_occupancy
Ca1 0.333 0.667 0.207 1
Ca2 0.667 0.333 0.793 1
Ni1 0.333 0.667 0.539 1
Ni2 0.667 0.333 0.461 1
```

Values from the calculation:
Symmetry: P-3m1
DFT formation energy, eV/atom: 0.249

***

5.
Here is a PBEsol-optimized structure of CaNi4O8 from Alexandria. Energies are from meta-GGA SCAN.

The structure in CIF format:
```
data_CaNi4O8
_symmetry_space_group_name_H-M 'P 1'
_symmetry_Int_Tables_number 1
_symmetry_space_group_name_Hall 'P 1'
_cell_length_a 6.367
_cell_length_b 6.367
_cell_length_c 6.367
_cell_angle_alpha 52.67
_cell_angle_beta 52.67
_cell_angle_gamma 52.67
loop_
_atom_site_label
_atom_site_fract_x
_atom_site_fract_y
_atom_site_fract_z
_atom_site_occupancy
Ca1 0.000 0.000 0.000 1
Ni1 0.000 0.000 0.500 1
Ni2 0.000 0.500 0.000 1
Ni3 0.500 0.000 0.000 1
Ni4 0.500 0.500 0.500 1
O1 0.214 0.732 0.732 1
O2 0.225 0.225 0.225 1
O3 0.268 0.268 0.786 1
O4 0.268 0.786 0.268 1
O5 0.732 0.214 0.732 1
O6 0.732 0.732 0.214 1
O7 0.775 0.775 0.775 1
O8 0.786 0.268 0.268 1
```

Values from the calculation:
Symmetry: R-3m
Formation energy from raw total energies, eV/atom: -1.4677

***

6.
Here is a PBEsol-optimized structure of CaNiP4O12 from Alexandria. Energies are from meta-GGA SCAN.

The structure in CIF format:
```
data_CaNiP4O12
_symmetry_space_group_name_H-M 'P 1'
_symmetry_Int_Tables_number 1
_symmetry_space_group_name_Hall 'P 1'
_cell_length_a 7.460
_cell_length_b 7.460
_cell_length_c 9.728
_cell_angle_alpha 112.50
_cell_angle_beta 112.50
_cell_angle_gamma 71.28
loop_
_atom_site_label
_atom_site_fract_x
_atom_site_fract_y
_atom_site_fract_z
_atom_site_occupancy
Ca1 0.054 0.946 0.750 1
Ca2 0.946 0.054 0.250 1
Ni1 0.000 0.500 0.500 1
Ni2 0.500 0.000 0.000 1
P1 0.279 0.718 0.030 1
P2 0.282 0.721 0.470 1
P3 0.304 0.310 0.801 1
P4 0.310 0.304 0.301 1
P5 0.690 0.696 0.699 1
P6 0.696 0.690 0.199 1
P7 0.718 0.279 0.530 1
P8 0.721 0.282 0.970 1
O1 0.100 0.826 0.081 1
O2 0.126 0.296 0.329 1
O3 0.174 0.900 0.419 1
O4 0.176 0.347 0.651 1
O5 0.208 0.672 0.574 1
O6 0.261 0.491 0.948 1
O7 0.296 0.126 0.829 1
O8 0.297 0.531 0.319 1
O9 0.328 0.792 0.926 1
O10 0.347 0.176 0.151 1
O11 0.469 0.703 0.181 1
O12 0.491 0.261 0.448 1
O13 0.509 0.739 0.552 1
O14 0.531 0.297 0.819 1
O15 0.653 0.824 0.849 1
O16 0.672 0.208 0.074 1
O17 0.703 0.469 0.681 1
O18 0.704 0.874 0.171 1
O19 0.739 0.509 0.052 1
O20 0.792 0.328 0.426 1
O21 0.824 0.653 0.349 1
O22 0.826 0.100 0.581 1
O23 0.874 0.704 0.671 1
O24 0.900 0.174 0.919 1
```

Values from the calculation:
Symmetry: C2/c
Formation energy from raw total energies, eV/atom: -2.4944

***

7.
Here is a PBEsol-optimized structure of CaNiSnP2O9 from Alexandria. Energies are from meta-GGA SCAN.

The structure in CIF format:
```
data_CaNiSnP2O9
_symmetry_space_group_name_H-M 'P 1'
_symmetry_Int_Tables_number 1
_symmetry_space_group_name_Hall 'P 1'
_cell_length_a 14.141
_cell_length_b 6.540
_cell_length_c 7.542
_cell_angle_alpha 90.00
_cell_angle_beta 90.00
_cell_angle_gamma 90.00
loop_
_atom_site_label
_atom_site_fract_x
_atom_site_fract_y
_atom_site_fract_z
_atom_site_occupancy
Ca1 0.206 0.250 0.089 1
Ca2 0.294 0.750 0.589 1
Ca3 0.706 0.250 0.411 1
Ca4 0.794 0.750 0.911 1
Ni1 0.000 0.000 0.000 1
Ni2 0.000 0.500 0.000 1
Ni3 0.500 0.000 0.500 1
Ni4 0.500 0.500 0.500 1
Sn1 0.120 0.250 0.653 1
Sn2 0.380 0.750 0.153 1
Sn3 0.620 0.250 0.847 1
Sn4 0.880 0.750 0.347 1
P1 0.069 0.750 0.648 1
P2 0.185 0.750 0.123 1
P3 0.315 0.250 0.623 1
P4 0.431 0.250 0.148 1
P5 0.569 0.750 0.852 1
P6 0.685 0.750 0.377 1
P7 0.815 0.250 0.877 1
P8 0.931 0.250 0.352 1
O1 0.003 0.250 0.503 1
O2 0.020 0.750 0.829 1
O3 0.064 0.250 0.889 1
O4 0.126 0.554 0.115 1
O5 0.126 0.946 0.115 1
O6 0.138 0.566 0.628 1
O7 0.138 0.934 0.628 1
O8 0.235 0.250 0.474 1
O9 0.247 0.750 0.294 1
O10 0.253 0.250 0.794 1
O11 0.265 0.750 0.974 1
O12 0.362 0.066 0.128 1
O13 0.362 0.434 0.128 1
O14 0.374 0.054 0.615 1
O15 0.374 0.446 0.615 1
O16 0.436 0.750 0.389 1
O17 0.480 0.250 0.329 1
O18 0.497 0.750 0.003 1
O19 0.503 0.250 0.997 1
O20 0.520 0.750 0.671 1
O21 0.564 0.250 0.611 1
O22 0.626 0.554 0.385 1
O23 0.626 0.946 0.385 1
O24 0.638 0.566 0.872 1
O25 0.638 0.934 0.872 1
O26 0.735 0.250 0.026 1
O27 0.747 0.750 0.206 1
O28 0.753 0.250 0.706 1
O29 0.765 0.750 0.526 1
O30 0.862 0.066 0.372 1
O31 0.862 0.434 0.372 1
O32 0.874 0.054 0.885 1
O33 0.874 0.446 0.885 1
O34 0.936 0.750 0.111 1
O35 0.980 0.250 0.171 1
O36 0.997 0.750 0.497 1
```

Values from the calculation:
Symmetry: Pnma
Formation energy from raw total energies, eV/atom: -2.3929

***

8.
Here is a PBEsol-optimized structure of Ca2NiSbO6 from Alexandria. Energies are from meta-GGA SCAN.

The structure in CIF format:
```
data_Ca2NiSbO6
_symmetry_space_group_name_H-M 'P 1'
_symmetry_Int_Tables_number 1
_symmetry_space_group_name_Hall 'P 1'
_cell_length_a 5.351
_cell_length_b 7.663
_cell_length_c 5.519
_cell_angle_alpha 90.00
_cell_angle_beta 90.44
_cell_angle_gamma 90.00
loop_
_atom_site_label
_atom_site_fract_x
_atom_site_fract_y
_atom_site_fract_z
_atom_site_occupancy
Ca1 0.014 0.250 0.044 1
Ca2 0.485 0.250 0.572 1
Ca3 0.515 0.750 0.428 1
Ca4 0.986 0.750 0.956 1
Ni1 0.500 0.000 0.000 1
Ni2 0.500 0.500 0.000 1
Sb1 0.000 0.000 0.500 1
Sb2 0.000 0.500 0.500 1
O1 0.099 0.750 0.530 1
O2 0.201 0.048 0.796 1
O3 0.201 0.452 0.796 1
O4 0.298 0.046 0.299 1
O5 0.298 0.454 0.299 1
O6 0.414 0.750 0.022 1
O7 0.586 0.250 0.978 1
O8 0.702 0.546 0.701 1
O9 0.702 0.954 0.701 1
O10 0.799 0.548 0.204 1
O11 0.799 0.952 0.204 1
O12 0.901 0.250 0.470 1
```

Values from the calculation:
Symmetry: P2_1/m
Formation energy from raw total energies, eV/atom: -2.2053

***

no.,DFT total energy (Ha/atom)
1,-0.5574
2,-0.4794
3,-0.5082
4,-0.4656
5,-0.4051
6,-0.3820
7,-0.4519
8,-0.4858